{"formula": "Ba4InOs", "functional": "GGA-PBEsol", "state": "relaxed", "lattice": [[6.627, 0.000, 0.000], [3.314, 5.740, 0.000], [3.314, 1.913, 5.411]], "species": ["Ba", "Ba", "Ba", "Ba", "In", "Os"], "frac_coords": [[0.374, 0.374, 0.374], [0.374, 0.374, 0.878], [0.878, 0.374, 0.374], [0.374, 0.878, 0.374], [0.750, 0.750, 0.750], [0.000, 0.000, 0.000]], "dft_energy_ev_per_atom": -2.865, "space_group": "No. 216", "formation_energy_ev_per_atom": 1.10, "vol_a3_per_atom": 34.307}

{"formula": "BaInOs2Ru", "functional": "GGA-PBEsol", "state": "relaxed", "lattice": [[4.714, 0.000, 0.000], [0.000, 4.714, 0.000], [0.000, 0.000, 5.498]], "species": ["Ru", "Os", "Os", "Ba", "In"], "frac_coords": [[0.000, 0.000, 0.000], [0.000, 0.500, 0.000], [0.500, 0.000, 0.000], [0.000, 0.000, 0.500], [0.500, 0.500, 0.500]], "dft_energy_ev_per_atom": -6.425, "space_group": "No. 123", "formation_energy_ev_per_atom": 1.52, "vol_a3_per_atom": 24.436}

{"formula": "Ba2InOsW", "functional": "GGA-PBEsol", "state": "relaxed", "lattice": [[5.076, 0.000, 0.000], [0.000, 6.204, 0.000], [0.000, 0.000, 6.204]], "species": ["Os", "Ba", "Ba", "W", "In"], "frac_coords": [[0.500, 0.500, 0.500], [0.000, 0.000, 0.500], [0.000, 0.500, 0.000], [0.500, 0.000, 0.000], [0.000, 0.000, 0.000]], "dft_energy_ev_per_atom": -4.405, "space_group": "No. 123", "formation_energy_ev_per_atom": 2.26, "vol_a3_per_atom": 39.066}

{"formula": "Ba2In5P5", "functional": "GGA-PBEsol", "state": "relaxed", "lattice": [[4.157, 0.000, 0.000], [0.000, 17.158, 0.000], [0.000, 0.000, 17.404]], "species": ["Ba", "Ba", "Ba", "Ba", "Ba", "Ba", "Ba", "Ba", "In", "In", "In", "In", "In", "In", "In", "In", "In", "In", "In", "In", "In", "In", "In", "In", "In", "In", "In", "In", "P", "P", "P", "P", "P", "P", "P", "P", "P", "P", "P", "P", "P", "P", "P", "P", "P", "P", "P", "P"], "frac_coords": [[0.250, 0.020, 0.621], [0.250, 0.042, 0.130], [0.250, 0.542, 0.370], [0.750, 0.480, 0.121], [0.750, 0.958, 0.870], [0.250, 0.520, 0.879], [0.750, 0.980, 0.379], [0.750, 0.458, 0.630], [0.750, 0.843, 0.189], [0.250, 0.672, 0.059], [0.750, 0.328, 0.941], [0.250, 0.789, 0.374], [0.250, 0.331, 0.472], [0.750, 0.828, 0.559], [0.750, 0.169, 0.972], [0.250, 0.657, 0.689], [0.750, 0.711, 0.874], [0.250, 0.831, 0.028], [0.250, 0.314, 0.777], [0.250, 0.172, 0.441], [0.750, 0.686, 0.223], [0.750, 0.211, 0.626], [0.250, 0.289, 0.126], [0.250, 0.814, 0.723], [0.750, 0.186, 0.277], [0.750, 0.343, 0.311], [0.750, 0.669, 0.528], [0.250, 0.157, 0.811], [0.750, 0.697, 0.375], [0.750, 0.107, 0.735], [0.750, 0.418, 0.442], [0.250, 0.393, 0.235], [0.250, 0.885, 0.489], [0.250, 0.103, 0.308], [0.250, 0.603, 0.192], [0.250, 0.582, 0.558], [0.750, 0.918, 0.058], [0.750, 0.607, 0.765], [0.250, 0.893, 0.265], [0.750, 0.115, 0.511], [0.250, 0.082, 0.942], [0.250, 0.303, 0.625], [0.750, 0.615, 0.989], [0.750, 0.397, 0.808], [0.250, 0.385, 0.011], [0.250, 0.803, 0.875], [0.750, 0.197, 0.125], [0.750, 0.897, 0.692]], "dft_energy_ev_per_atom": -4.525, "space_group": "No. 62", "formation_energy_ev_per_atom": -0.51, "vol_a3_per_atom": 25.859}

Copy entry 4 word for word.
{"formula": "Ba2In5P5", "functional": "GGA-PBEsol", "state": "relaxed", "lattice": [[4.157, 0.000, 0.000], [0.000, 17.158, 0.000], [0.000, 0.000, 17.404]], "species": ["Ba", "Ba", "Ba", "Ba", "Ba", "Ba", "Ba", "Ba", "In", "In", "In", "In", "In", "In", "In", "In", "In", "In", "In", "In", "In", "In", "In", "In", "In", "In", "In", "In", "P", "P", "P", "P", "P", "P", "P", "P", "P", "P", "P", "P", "P", "P", "P", "P", "P", "P", "P", "P"], "frac_coords": [[0.250, 0.020, 0.621], [0.250, 0.042, 0.130], [0.250, 0.542, 0.370], [0.750, 0.480, 0.121], [0.750, 0.958, 0.870], [0.250, 0.520, 0.879], [0.750, 0.980, 0.379], [0.750, 0.458, 0.630], [0.750, 0.843, 0.189], [0.250, 0.672, 0.059], [0.750, 0.328, 0.941], [0.250, 0.789, 0.374], [0.250, 0.331, 0.472], [0.750, 0.828, 0.559], [0.750, 0.169, 0.972], [0.250, 0.657, 0.689], [0.750, 0.711, 0.874], [0.250, 0.831, 0.028], [0.250, 0.314, 0.777], [0.250, 0.172, 0.441], [0.750, 0.686, 0.223], [0.750, 0.211, 0.626], [0.250, 0.289, 0.126], [0.250, 0.814, 0.723], [0.750, 0.186, 0.277], [0.750, 0.343, 0.311], [0.750, 0.669, 0.528], [0.250, 0.157, 0.811], [0.750, 0.697, 0.375], [0.750, 0.107, 0.735], [0.750, 0.418, 0.442], [0.250, 0.393, 0.235], [0.250, 0.885, 0.489], [0.250, 0.103, 0.308], [0.250, 0.603, 0.192], [0.250, 0.582, 0.558], [0.750, 0.918, 0.058], [0.750, 0.607, 0.765], [0.250, 0.893, 0.265], [0.750, 0.115, 0.511], [0.250, 0.082, 0.942], [0.250, 0.303, 0.625], [0.750, 0.615, 0.989], [0.750, 0.397, 0.808], [0.250, 0.385, 0.011], [0.250, 0.803, 0.875], [0.750, 0.197, 0.125], [0.750, 0.897, 0.692]], "dft_energy_ev_per_atom": -4.525, "space_group": "No. 62", "formation_energy_ev_per_atom": -0.51, "vol_a3_per_atom": 25.859}

What did the first record say?
{"formula": "Ba4InOs", "functional": "GGA-PBEsol", "state": "relaxed", "lattice": [[6.627, 0.000, 0.000], [3.314, 5.740, 0.000], [3.314, 1.913, 5.411]], "species": ["Ba", "Ba", "Ba", "Ba", "In", "Os"], "frac_coords": [[0.374, 0.374, 0.374], [0.374, 0.374, 0.878], [0.878, 0.374, 0.374], [0.374, 0.878, 0.374], [0.750, 0.750, 0.750], [0.000, 0.000, 0.000]], "dft_energy_ev_per_atom": -2.865, "space_group": "No. 216", "formation_energy_ev_per_atom": 1.10, "vol_a3_per_atom": 34.307}